one.
Material: C4Se3
Method: DFT, GGA-PBE
State: optimized geometry

abc: 10.7226 10.7226 10.7226
angles: 162.41 162.41 24.98
Last column: nearest neighbours and their distance in Å.
Positions (direct):
C: 0.2107 0.2107 0.0000  1 Se 1.98
C: 0.5319 0.5319 0.0000  1 C 1.34
C: 0.4681 0.4681 0.0000  1 C 1.34
C: 0.7893 0.7893 0.0000  1 Se 1.98
Se: 0.6949 0.6949 0.0000  1 C 1.98
Se: 0.0000 0.0000 0.0000  8 C 2.41
Se: 0.3051 0.3051 0.0000  1 C 1.98

Values from the calculation:
The magnetic moment comes out at 0.00 μB per cell. The density of states at the Fermi level is 0.437 states/eV per atom.

---

two.
Material: C4Se3
Method: DFT, GGA-PBE
State: optimized geometry

abc: 4.4422 4.4422 4.4422
angles: 90.00 90.00 90.00
Last column: nearest neighbours and their distance in Å.
Positions (direct):
C: 0.5000 0.0000 0.5000  4 Se 2.22
Se: 0.0000 0.5000 0.0000  6 C 2.22
C: 0.0000 0.5000 0.5000  4 Se 2.22
C: 0.5000 0.5000 0.0000  4 Se 2.22
Se: 0.0000 0.0000 0.5000  6 C 2.22
Se: 0.5000 0.0000 0.0000  6 C 2.22
C: 0.0000 0.0000 0.0000  6 Se 2.22

Values from the calculation:
The magnetic moment comes out at 0.64 μB per cell. The density of states at the Fermi level is 0.702 states/eV per atom.

---

In terms of stability, one leads; the second structure lies 0.563 eV/atom higher.

---

one.
Material: C5Se4
Method: DFT, GGA-PBE
State: optimized geometry

abc: 6.6312 6.6312 6.3538
angles: 90.00 90.00 120.00
Last column: nearest neighbours and their distance in Å.
Positions (direct):
C: 0.7907 0.0000 0.2500  1 Se 1.86
Se: 0.5104 0.0000 0.2500  1 C 1.86
C: 0.7907 0.7907 0.7500  1 Se 1.86
Se: 0.5104 0.5104 0.7500  1 C 1.86
C: 0.0000 0.2093 0.7500  1 Se 1.86
Se: 0.0000 0.0000 0.5000  6 C 2.11
Se: 0.4896 0.4896 0.2500  1 C 1.86
C: 0.3333 0.6667 0.5000  6 Se 2.49
C: 0.2093 0.2093 0.2500  1 Se 1.86
C: 0.3333 0.6667 0.0000  6 Se 2.49
C: 0.6667 0.3333 0.0000  6 Se 2.49
C: 0.6667 0.3333 0.5000  6 Se 2.49
C: 0.2093 0.0000 0.7500  1 Se 1.86
Se: 0.4896 0.0000 0.7500  1 C 1.86
Se: 0.0000 0.4896 0.7500  1 C 1.86
Se: 0.0000 0.0000 0.0000  6 C 2.11
Se: 0.0000 0.5104 0.2500  1 C 1.86
C: 0.0000 0.7907 0.2500  1 Se 1.86

Values from the calculation:
The magnetic moment comes out at 0.00 μB per cell. The density of states at the Fermi level is 0.456 states/eV per atom.

---

two.
Material: C5Se4
Method: DFT, GGA-PBE
State: optimized geometry

abc: 7.3636 7.3636 7.3636
angles: 91.70 91.70 160.14
Last column: nearest neighbours and their distance in Å.
Positions (direct):
Se: 0.2310 0.0000 0.2310  3 C 2.34-2.37, 2 Se 2.54
C: 0.7715 0.2285 0.0000  2 C 1.41
C: 0.2285 0.2285 0.4570  2 C 1.41
Se: 0.7690 0.0000 0.7690  3 C 2.34-2.37, 2 Se 2.54
C: 0.2285 0.7715 0.0000  2 C 1.41
C: 0.0000 0.0000 0.0000  4 Se 2.37, 2 C 2.54
Se: 0.0000 0.7690 0.7690  3 C 2.34-2.37, 2 Se 2.54
Se: 0.0000 0.2310 0.2310  3 C 2.34-2.37, 2 Se 2.54
C: 0.7715 0.7715 0.5430  2 C 1.41

Values from the calculation:
The magnetic moment comes out at 0.00 μB per cell. The density of states at the Fermi level is 0.316 states/eV per atom.

---

In terms of stability, two leads; the second structure lies 1.164 eV/atom higher.

---

one.
Material: C3Se4
Method: DFT, GGA-PBE
State: optimized geometry

abc: 10.9610 10.9610 10.9610
angles: 162.88 162.88 24.31
Last column: nearest neighbours and their distance in Å.
Positions (direct):
Se: 0.4463 0.4463 0.0000  1 Se 2.30, 4 C 2.58
C: 0.0000 0.0000 0.0000  8 Se 2.58
Se: 0.8032 0.8032 0.0000  1 C 1.98
Se: 0.5537 0.5537 0.0000  1 Se 2.30, 4 C 2.58
Se: 0.1968 0.1968 0.0000  1 C 1.98
C: 0.2892 0.2892 0.0000  1 Se 1.98
C: 0.7108 0.7108 0.0000  1 Se 1.98

Values from the calculation:
The magnetic moment comes out at 0.30 μB per cell. The density of states at the Fermi level is 0.408 states/eV per atom.

---

two.
Material: C3Se4
Method: DFT, GGA-PBE
State: optimized geometry

abc: 4.5890 4.5890 4.5890
angles: 90.00 90.00 90.00
Last column: nearest neighbours and their distance in Å.
Positions (direct):
C: 0.0000 0.5000 0.0000  6 Se 2.29
Se: 0.5000 0.5000 0.0000  4 C 2.29
C: 0.0000 0.0000 0.5000  6 Se 2.29
Se: 0.0000 0.5000 0.5000  4 C 2.29
C: 0.5000 0.0000 0.0000  6 Se 2.29
Se: 0.0000 0.0000 0.0000  6 C 2.29
Se: 0.5000 0.0000 0.5000  4 C 2.29

Values from the calculation:
The magnetic moment comes out at 0.00 μB per cell. The density of states at the Fermi level is 0.426 states/eV per atom.

---

three.
Material: C3Se4
Method: DFT, GGA-PBE
State: optimized geometry

abc: 4.9192 4.9192 4.9192
angles: 90.00 90.00 90.00
Last column: nearest neighbours and their distance in Å.
Positions (direct):
Se: 0.7527 0.7527 0.7527  3 C 2.14
Se: 0.7527 0.2473 0.2473  3 C 2.14
C: 0.5000 0.5000 0.0000  4 Se 2.14
C: 0.0000 0.5000 0.5000  4 Se 2.14
C: 0.5000 0.0000 0.5000  4 Se 2.14
Se: 0.2473 0.2473 0.7527  3 C 2.14
Se: 0.2473 0.7527 0.2473  3 C 2.14

Values from the calculation:
The magnetic moment comes out at 0.00 μB per cell. The density of states at the Fermi level is 0.487 states/eV per atom.

---

four.
Material: C3Se4
Method: DFT, GGA-PBE
State: optimized geometry

abc: 4.2476 4.2476 8.2368
angles: 90.00 90.00 120.00
Last column: nearest neighbours and their distance in Å.
Positions (direct):
Se: 0.0000 0.0000 0.1633  6 C 2.51, 1 Se 2.69
C: 0.5000 0.5000 0.0000  4 C 2.12
Se: 0.3333 0.6667 0.5000  3 Se 2.45
C: 0.0000 0.5000 0.0000  4 C 2.12
C: 0.5000 0.0000 0.0000  4 C 2.12
Se: 0.0000 0.0000 0.8367  6 C 2.51, 1 Se 2.69
Se: 0.6667 0.3333 0.5000  3 Se 2.45

Values from the calculation:
The magnetic moment comes out at 0.00 μB per cell. The density of states at the Fermi level is 0.499 states/eV per atom.

---

In terms of stability, three leads; the second structure lies 0.273 eV/atom higher.

---

one.
Material: C5Se3
Method: DFT, GGA-PBE
State: optimized geometry

abc: 3.6592 3.6592 9.1939
angles: 90.00 90.00 90.00
Last column: nearest neighbours and their distance in Å.
Positions (direct):
Se: 0.5000 0.5000 0.2333  1 C 1.78
C: 0.0000 0.0000 0.1428  1 C 1.31
Se: 0.5000 0.5000 0.7667  1 C 1.78
C: 0.0000 0.0000 0.8572  1 C 1.31
Se: 0.0000 0.0000 0.5000  8 C 2.67
C: 0.5000 0.5000 0.4272  1 C 1.34
C: 0.5000 0.5000 0.5728  1 C 1.34
C: 0.0000 0.0000 0.0000  2 C 1.31

Values from the calculation:
The magnetic moment comes out at 0.00 μB per cell. The density of states at the Fermi level is 0.362 states/eV per atom.

---

two.
Material: C5Se3
Method: DFT, GGA-PBE
State: optimized geometry

abc: 8.3935 8.3935 2.7296
angles: 90.00 90.00 137.36
Last column: nearest neighbours and their distance in Å.
Positions (direct):
C: 0.8725 0.8725 0.5000  3 C 1.56-1.57
Se: 0.7630 0.2370 0.5000  4 C 2.06
Se: 0.2370 0.7630 0.5000  4 C 2.06
Se: 0.5000 0.5000 0.0000  4 C 2.65, 2 Se 2.73
C: 0.5000 0.0000 0.0000  4 Se 2.06
C: 0.0000 0.5000 0.0000  4 Se 2.06
C: 0.0000 0.0000 0.0000  4 C 1.57
C: 0.1275 0.1275 0.5000  3 C 1.56-1.57

Values from the calculation:
The magnetic moment comes out at 0.00 μB per cell. The density of states at the Fermi level is 0.667 states/eV per atom.

---

In terms of stability, one leads; the second structure lies 0.604 eV/atom higher.